[1]
# Pm3MnTl3Te8

An optimized crystal structure of Pm3MnTl3Te8 (GGA-PBE, Alexandria).

Uncorrected formation energy = -0.8187 eV/atom

Cell: 8.8495 8.8495 24.6808 Å, 90.00 90.00 120.00°
Closest atoms and distances in Å follow each position.
Space group R-3m (No. 166, hexagonal axes)
Inequivalent atoms, fractional coordinates:
1 Pm 0.0000 0.5000 0.0000  6 Te 3.14-3.16
2 Mn 0.0000 0.0000 0.0000  6 Te 2.82
3 Tl 0.0000 0.5000 0.5000  6 Te 3.42-3.46
4 Te 0.0000 0.0000 0.2591  3 Pm 3.14, 3 Tl 3.42
5 Te 0.0352 0.5176 0.7334  1 Mn 2.82

---

[2]
# Sr2Li9Zn6

An optimized crystal structure of Sr2Li9Zn6 (GGA-PBE, Alexandria).

ΔH_f (0 K) = -0.033 eV/atom

Cell: 5.6863 5.6863 13.5367 Å, 90.00 90.00 120.00°
Closest atoms and distances in Å follow each position.
Space group P6/mmm (No. 191)
Inequivalent atoms, fractional coordinates:
1 Sr 0.0000 0.0000 0.1702  6 Zn 3.28, 12 Li 3.63-3.66
2 Li 0.0000 0.5000 0.0000  4 Zn 2.81, 4 Li 2.84
3 Li 0.0000 0.5000 0.3364  4 Zn 2.76-2.80, 4 Li 2.84
4 Zn 0.3333 0.6667 0.1687  6 Li 2.80-2.81
5 Zn 0.3333 0.6667 0.5000  6 Li 2.76

---

[3]
# Th3Si2SbRh9

An optimized crystal structure of Th3Si2SbRh9 (GGA-PBE, Alexandria).

Uncorrected formation energy = -0.7009 eV/atom

Cell: 5.9275 5.9275 9.9372 Å, 90.00 90.00 120.00°
Closest atoms and distances in Å follow each position.
Space group P-3m1 (No. 164)
Inequivalent atoms, fractional coordinates:
1 Th 0.0000 0.0000 0.0000  12 Rh 2.96-3.29
2 Th 0.3333 0.6667 0.7188  9 Rh 2.97-3.28
3 Si 0.3333 0.6667 0.1574  6 Rh 2.25-2.32
4 Sb 0.0000 0.0000 0.5000  6 Rh 2.63
5 Rh 0.0000 0.5000 0.0000  2 Si 2.32
6 Rh 0.1552 0.3103 0.2895  1 Si 2.25

---

[4]
# Tm2AlPt4

An optimized crystal structure of Tm2AlPt4 (GGA-PBE, Alexandria).

ΔH_f (0 K) = -1.029 eV/atom

Cell: 4.8708 4.8805 7.0624 Å, 71.07 84.90 69.01°
Closest atoms and distances in Å follow each position.
Space group P-1 (No. 2)
Inequivalent atoms, fractional coordinates:
1 Tm 0.0085 0.3735 0.2781  8 Pt 2.89-3.09
2 Al 0.5000 0.0000 0.0000  6 Pt 2.44-2.59
3 Pt 0.0000 0.0000 0.0000  2 Al 2.44
4 Pt 0.3317 0.0275 0.6547  1 Al 2.59, 3 Pt 2.64-2.83, 2 Tm 2.89
5 Pt 0.5000 0.5000 0.0000  2 Al 2.44

---

Number 1: E_tot -0.3329 Ry/atom, total magnetic moment 3.3 μB per formula unit, ρ 6.32 Mg/m³. Number 2: E_tot -0.1245 Ry/atom, total magnetic moment 0.0 μB per formula unit, ρ 2.76 Mg/m³. Number 3: E_tot -0.5581 Ry/atom, total magnetic moment 0.0 μB per formula unit, ρ 9.89 Mg/m³. Number 4: E_tot -0.4625 Ry/atom, total magnetic moment 0.0 μB per formula unit, ρ 12.83 Mg/m³.